Here is crystalline YHfFe2 at its relaxed geometry from Alexandria via LeMat-Bulk. Energies are from PBE.

## Properties
- formation energy from the elements (eV/atom) = 0.4986
- excess energy over the best structure of this formula in the dataset (meV/atom) = 462.4
- volume (Å³/cell) = 149.66
- N(E_F) (states/eV/f.u.) = 3.977
- E_tot (eV/cell) = -62.697
- symmetry = No. 122
- density (g/cm3) = 8.41

a b c (Å): 5.8328 5.8328 5.8328
angles (deg): 105.01 105.01 118.83
Sites, in units of the cell vectors:
Y: 0.0000 0.0000 0.0000
Y: 0.7500 0.2500 0.5000
Hf: 0.2500 0.7500 0.5000
Hf: 0.5000 0.5000 0.0000
Fe: 0.1456 0.6250 0.0206
Fe: 0.3750 0.3956 0.5206
Fe: 0.6044 0.1250 0.9794
Fe: 0.8750 0.8544 0.4794